Run P
## NaGd2Ho (PBE)

Data for a geometry-optimized NaGd2Ho structure.

The structure in CIF format:
```
data_NaGd2Ho
_cell_length_a 3.5147
_cell_length_b 3.5147
_cell_length_c 37.9496
_cell_angle_alpha 90.00
_cell_angle_beta 90.00
_cell_angle_gamma 120.00
_symmetry_space_group_name_H-M 'R -3 m'
_symmetry_Int_Tables_number 166
_symmetry_space_group_name_Hall '-R 3 2"'
loop_
_atom_site_label
_atom_site_type_symbol
_atom_site_fract_x
_atom_site_fract_y
_atom_site_fract_z
_atom_site_occupancy
Na1 Na 0.0000 0.0000 0.0000 1
Gd1 Gd 0.0000 0.0000 0.0923 1
Ho1 Ho 0.0000 0.0000 0.5000 1
```

---

Run Q
## NaGd2Ho (PBE)

Data for a geometry-optimized NaGd2Ho structure.

The structure in CIF format:
```
data_NaGd2Ho
_cell_length_a 3.505
_cell_length_b 3.505
_cell_length_c 10.739
_cell_angle_alpha 90.00
_cell_angle_beta 90.00
_cell_angle_gamma 90.00
_symmetry_space_group_name_H-M 'P 4/m m m'
_symmetry_Int_Tables_number 123
_symmetry_space_group_name_Hall '-P 4 2'
loop_
_atom_site_label
_atom_site_type_symbol
_atom_site_fract_x
_atom_site_fract_y
_atom_site_fract_z
_atom_site_occupancy
Na1 Na 0.000 0.000 0.000 1
Gd1 Gd 0.500 0.500 0.269 1
Ho1 Ho 0.000 0.000 0.500 1
```

---

Of them, the most stable is run Q and the least stable is run P.

---

Run P
## NaGdHo2 (PBE)

Data for a geometry-optimized NaGdHo2 structure.

The structure in CIF format:
```
data_NaGdHo2
_cell_length_a 3.518
_cell_length_b 3.518
_cell_length_c 10.528
_cell_angle_alpha 90.00
_cell_angle_beta 90.00
_cell_angle_gamma 90.00
_symmetry_space_group_name_H-M 'P 4/m m m'
_symmetry_Int_Tables_number 123
_symmetry_space_group_name_Hall '-P 4 2'
loop_
_atom_site_label
_atom_site_type_symbol
_atom_site_fract_x
_atom_site_fract_y
_atom_site_fract_z
_atom_site_occupancy
Na1 Na 0.000 0.000 0.000 1
Gd1 Gd 0.000 0.000 0.500 1
Ho1 Ho 0.500 0.500 0.269 1
```

---

Run Q
## NaGdHo2 (PBE)

Data for a geometry-optimized NaGdHo2 structure.

The structure in CIF format:
```
data_NaGdHo2
_cell_length_a 3.4843
_cell_length_b 3.4843
_cell_length_c 37.9965
_cell_angle_alpha 90.00
_cell_angle_beta 90.00
_cell_angle_gamma 120.00
_symmetry_space_group_name_H-M 'R -3 m'
_symmetry_Int_Tables_number 166
_symmetry_space_group_name_Hall '-R 3 2"'
loop_
_atom_site_label
_atom_site_type_symbol
_atom_site_fract_x
_atom_site_fract_y
_atom_site_fract_z
_atom_site_occupancy
Na1 Na 0.0000 0.0000 0.0000 1
Gd1 Gd 0.0000 0.0000 0.5000 1
Ho1 Ho 0.0000 0.0000 0.0917 1
```

---

Of them, the most stable is run P and the least stable is run Q.

---

Run P
## GdHo2Ni (PBE)

Data for a geometry-optimized GdHo2Ni structure.

The structure in CIF format:
```
data_GdHo2Ni
_cell_length_a 3.6996
_cell_length_b 3.6996
_cell_length_c 27.9176
_cell_angle_alpha 90.00
_cell_angle_beta 90.00
_cell_angle_gamma 120.00
_symmetry_space_group_name_H-M 'R -3 m'
_symmetry_Int_Tables_number 166
_symmetry_space_group_name_Hall '-R 3 2"'
loop_
_atom_site_label
_atom_site_type_symbol
_atom_site_fract_x
_atom_site_fract_y
_atom_site_fract_z
_atom_site_occupancy
Gd1 Gd 0.0000 0.0000 0.0000 1
Ho1 Ho 0.0000 0.0000 0.2258 1
Ni1 Ni 0.0000 0.0000 0.5000 1
```

---

Run Q
## GdHo2Ni (PBE)

Data for a geometry-optimized GdHo2Ni structure.

The structure in CIF format:
```
data_GdHo2Ni
_cell_length_a 3.438
_cell_length_b 3.438
_cell_length_c 8.654
_cell_angle_alpha 90.00
_cell_angle_beta 90.00
_cell_angle_gamma 90.00
_symmetry_space_group_name_H-M 'P 4/m m m'
_symmetry_Int_Tables_number 123
_symmetry_space_group_name_Hall '-P 4 2'
loop_
_atom_site_label
_atom_site_type_symbol
_atom_site_fract_x
_atom_site_fract_y
_atom_site_fract_z
_atom_site_occupancy
Gd1 Gd 0.000 0.000 0.000 1
Ho1 Ho 0.500 0.500 0.315 1
Ni1 Ni 0.000 0.000 0.500 1
```

---

Of them, the most stable is run Q and the least stable is run P.

---

Run P
## GdHoNi (PBE)

Data for a geometry-optimized GdHoNi structure.

The structure in CIF format:
```
data_GdHoNi
_cell_length_a 3.9187
_cell_length_b 3.9187
_cell_length_c 6.1753
_cell_angle_alpha 90.00
_cell_angle_beta 90.00
_cell_angle_gamma 120.00
_symmetry_space_group_name_H-M 'P 3 m 1'
_symmetry_Int_Tables_number 156
loop_
_symmetry_equiv_pos_as_xyz
'x,y,z'
'-y,x-y,z'
'-x+y,-x,z'
'-y,-x,z'
'-x+y,y,z'
'x,x-y,z'
loop_
_atom_site_label
_atom_site_type_symbol
_atom_site_fract_x
_atom_site_fract_y
_atom_site_fract_z
_atom_site_occupancy
Gd1 Gd 0.0000 0.0000 0.0000 1
Ho1 Ho 0.6667 0.3333 0.5170 1
Ni1 Ni 0.3333 0.6667 0.7513 1
```

---

Run Q
## GdHoNi (PBE)

Data for a geometry-optimized GdHoNi structure.

The structure in CIF format:
```
data_GdHoNi
_cell_length_a 3.410
_cell_length_b 3.410
_cell_length_c 12.464
_cell_angle_alpha 90.00
_cell_angle_beta 90.00
_cell_angle_gamma 90.00
_symmetry_space_group_name_H-M 'I 4 m m'
_symmetry_Int_Tables_number 107
_symmetry_space_group_name_Hall 'I 4 -2'
loop_
_atom_site_label
_atom_site_type_symbol
_atom_site_fract_x
_atom_site_fract_y
_atom_site_fract_z
_atom_site_occupancy
Gd1 Gd 0.000 0.000 0.000 1
Ho1 Ho 0.000 0.000 0.262 1
Ni1 Ni 0.000 0.000 0.637 1
```

---

Of them, the most stable is run Q and the least stable is run P.

---

Run P
## Gd2HoNi (PBE)

Data for a geometry-optimized Gd2HoNi structure.

The structure in CIF format:
```
data_Gd2HoNi
_cell_length_a 3.494
_cell_length_b 3.494
_cell_length_c 8.523
_cell_angle_alpha 90.00
_cell_angle_beta 90.00
_cell_angle_gamma 90.00
_symmetry_space_group_name_H-M 'P 4/m m m'
_symmetry_Int_Tables_number 123
_symmetry_space_group_name_Hall '-P 4 2'
loop_
_atom_site_label
_atom_site_type_symbol
_atom_site_fract_x
_atom_site_fract_y
_atom_site_fract_z
_atom_site_occupancy
Gd1 Gd 0.000 0.000 0.191 1
Ho1 Ho 0.500 0.500 0.500 1
Ni1 Ni 0.500 0.500 0.000 1
```

---

Run Q
## Gd2HoNi (PBE)

Data for a geometry-optimized Gd2HoNi structure.

The structure in CIF format:
```
data_Gd2HoNi
_cell_length_a 3.6788
_cell_length_b 3.6788
_cell_length_c 28.3084
_cell_angle_alpha 90.00
_cell_angle_beta 90.00
_cell_angle_gamma 120.00
_symmetry_space_group_name_H-M 'R -3 m'
_symmetry_Int_Tables_number 166
_symmetry_space_group_name_Hall '-R 3 2"'
loop_
_atom_site_label
_atom_site_type_symbol
_atom_site_fract_x
_atom_site_fract_y
_atom_site_fract_z
_atom_site_occupancy
Gd1 Gd 0.0000 0.0000 0.2284 1
Ho1 Ho 0.0000 0.0000 0.0000 1
Ni1 Ni 0.0000 0.0000 0.5000 1
```

---

Of them, the most stable is run P and the least stable is run Q.

---

Run P
## Gd2HoPa (PBE)

Data for a geometry-optimized Gd2HoPa structure.

The structure in CIF format:
```
data_Gd2HoPa
_cell_length_a 3.412
_cell_length_b 3.412
_cell_length_c 10.159
_cell_angle_alpha 90.00
_cell_angle_beta 90.00
_cell_angle_gamma 90.00
_symmetry_space_group_name_H-M 'P 4/m m m'
_symmetry_Int_Tables_number 123
_symmetry_space_group_name_Hall '-P 4 2'
loop_
_atom_site_label
_atom_site_type_symbol
_atom_site_fract_x
_atom_site_fract_y
_atom_site_fract_z
_atom_site_occupancy
Gd1 Gd 0.000 0.000 0.233 1
Ho1 Ho 0.500 0.500 0.500 1
Pa1 Pa 0.500 0.500 0.000 1
```

---

Run Q
## Gd2HoPa (PBE)

Data for a geometry-optimized Gd2HoPa structure.

The structure in CIF format:
```
data_Gd2HoPa
_cell_length_a 4.905
_cell_length_b 4.905
_cell_length_c 4.919
_cell_angle_alpha 90.00
_cell_angle_beta 90.00
_cell_angle_gamma 90.00
_symmetry_space_group_name_H-M 'P 4/m m m'
_symmetry_Int_Tables_number 123
_symmetry_space_group_name_Hall '-P 4 2'
loop_
_atom_site_label
_atom_site_type_symbol
_atom_site_fract_x
_atom_site_fract_y
_atom_site_fract_z
_atom_site_occupancy
Gd1 Gd 0.000 0.500 0.000 1
Ho1 Ho 0.000 0.000 0.500 1
Pa1 Pa 0.500 0.500 0.500 1
```

---

Of them, the most stable is run P and the least stable is run Q.